# 1
Compound: PdCl2
Source: Alexandria via LeMat-Bulk
Functional: GGA-PBEsol
Structure: optimized geometry

Cell and atoms, written as CIF:
```
data_PdCl2
_chemical_formula_sum 'Pd18 Cl36'
_space_group_name_H-M_alt 'R -3'
_space_group_IT_number 148
_space_group_name_Hall '-R 3'
_cell_length_a 13.0039
_cell_length_b 13.0039
_cell_length_c 8.6886
_cell_angle_alpha 90.00
_cell_angle_beta 90.00
_cell_angle_gamma 120.00
loop_
_atom_site_label
_atom_site_fract_x
_atom_site_fract_y
_atom_site_fract_z
Pd1 0.0481 0.8852 0.3456
Cl1 0.0484 0.8858 0.8061
Cl2 0.0568 0.4568 0.1677
```

Summary:
formation energy without anion corrections	-487	meV/atom
V	23.56	Å³ per atom
E	-3.81	eV per atom
crystal system	trigonal

# 2
Compound: PdCl2
Source: Alexandria via LeMat-Bulk
Functional: GGA-PBEsol
Structure: optimized geometry

Cell and atoms, written as CIF:
```
data_PdCl2
_chemical_formula_sum 'Pd4 Cl8'
_space_group_name_H-M_alt 'P -1'
_space_group_IT_number 2
_cell_length_a 6.673
_cell_length_b 6.857
_cell_length_c 7.077
_cell_angle_alpha 95.44
_cell_angle_beta 117.01
_cell_angle_gamma 104.20
loop_
_space_group_symop_operation_xyz
'x,y,z'
'-x,-y,-z'
loop_
_atom_site_label
_atom_site_fract_x
_atom_site_fract_y
_atom_site_fract_z
Pd1 0.165 0.272 0.443
Pd2 0.251 0.504 0.001
Cl1 0.027 0.249 0.685
Cl2 0.213 0.760 0.815
Cl3 0.288 0.250 0.190
Cl4 0.481 0.762 0.315
```

Summary:
formation energy without anion corrections	-467	meV/atom
V	22.64	Å³ per atom
E	-3.79	eV per atom
crystal system	triclinic

# 3
Compound: PdCl2
Source: Alexandria via LeMat-Bulk
Functional: GGA-PBEsol
Structure: optimized geometry

Cell and atoms, written as CIF:
```
data_PdCl2
_chemical_formula_sum 'Pd2 Cl4'
_space_group_name_H-M_alt 'P n n m'
_space_group_IT_number 58
_cell_length_a 3.763
_cell_length_b 10.987
_cell_length_c 3.356
_cell_angle_alpha 90.00
_cell_angle_beta 90.00
_cell_angle_gamma 90.00
loop_
_space_group_symop_operation_xyz
'x,y,z'
'-x,-y,-z'
'-x,-y,z'
'x,y,-z'
'x+1/2,-y+1/2,-z+1/2'
'-x+1/2,y+1/2,z+1/2'
'-x+1/2,y+1/2,-z+1/2'
'x+1/2,-y+1/2,z+1/2'
loop_
_atom_site_label
_atom_site_fract_x
_atom_site_fract_y
_atom_site_fract_z
Pd1 0.000 0.000 0.000
Cl1 0.139 0.134 0.500
```

Summary:
formation energy without anion corrections	-428	meV/atom
V	23.12	Å³ per atom
E	-3.75	eV per atom
crystal system	orthorhombic